Record 1
First-principles (PBE-GGA) data for Zr2SbW after structural relaxation, as listed in the Alexandria database.

- N(E_F) (states/eV/cell) = 3.24
- E_form (uncorrected) (meV/atom) = -153
- space-group type = Pm, No. 6

POSCAR file:
```
Zr2SbW
1.0
3.5045 0.0000 0.0000
0.0000 4.5721 0.0000
-1.7372 0.0000 5.2997
Zr Sb W
2 1 1
Direct
0.0000 0.0000 0.0000
0.2941 0.5000 0.5914
0.5730 0.5000 0.1458
0.7423 0.0000 0.4868
```


Record 2
First-principles (PBE-GGA) data for ZrSbW2 after structural relaxation, as listed in the Alexandria database.

- N(E_F) (states/eV/cell) = 20.16
- E_form (uncorrected) (meV/atom) = 667
- space-group type = I-42d, No. 122

POSCAR file:
```
ZrSbW2
1.0
4.0502 0.0000 0.0000
0.0000 4.0502 0.0000
0.0000 0.0000 20.1516
Zr Sb W
4 4 8
Direct
0.0000 0.0000 0.0000
0.0000 0.5000 0.2500
0.5000 0.0000 0.7500
0.5000 0.5000 0.5000
0.0000 0.0000 0.5000
0.0000 0.5000 0.7500
0.5000 0.0000 0.2500
0.5000 0.5000 0.0000
0.2064 0.2500 0.6250
0.2500 0.7064 0.8750
0.2500 0.7936 0.3750
0.2936 0.2500 0.1250
0.7064 0.7500 0.1250
0.7500 0.2064 0.3750
0.7500 0.2936 0.8750
0.7936 0.7500 0.6250
```


Record 3
First-principles (PBE-GGA) data for ZrSb2W after structural relaxation, as listed in the Alexandria database.

- N(E_F) (states/eV/cell) = 8.34
- ΔE to the lowest computed polymorph (meV/atom) = 351
- E_form (uncorrected) (meV/atom) = 287
- space-group type = Immm, No. 71

POSCAR file:
```
ZrSb2W
1.0
3.5498 0.0000 0.0000
0.0000 5.2553 0.0000
0.0000 0.0000 9.2086
Zr Sb W
2 4 2
Direct
0.0000 0.0000 0.0000
0.5000 0.5000 0.5000
0.0000 0.5000 0.2294
0.0000 0.5000 0.7706
0.5000 0.0000 0.2706
0.5000 0.0000 0.7294
0.0000 0.0000 0.5000
0.5000 0.5000 0.0000
```


Record 4
First-principles (PBE-GGA) data for ZrSb2W after structural relaxation, as listed in the Alexandria database.

- N(E_F) (states/eV/cell) = 3.84
- ΔE to the lowest computed polymorph (meV/atom) = 79
- E_form (uncorrected) (meV/atom) = 15
- space-group type = Cm, No. 8

POSCAR file:
```
ZrSb2W
1.0
10.1693 0.0000 0.0000
0.0000 3.5988 0.0000
-0.8891 0.0000 4.6878
Zr Sb W
2 4 2
Direct
0.0000 0.0000 0.0000
0.5000 0.5000 0.0000
0.0297 0.5000 0.5147
0.2740 0.0000 0.9086
0.5297 0.0000 0.5147
0.7740 0.5000 0.9086
0.3131 0.5000 0.4185
0.8131 0.0000 0.4185
```


Record 5
First-principles (PBE-GGA) data for Zr2SbW after structural relaxation, as listed in the Alexandria database.

- N(E_F) (states/eV/cell) = 32.32
- E_form (uncorrected) (meV/atom) = 580
- space-group type = I-42d, No. 122

POSCAR file:
```
Zr2SbW
1.0
4.2163 0.0000 0.0000
0.0000 4.2163 0.0000
0.0000 0.0000 20.0778
Zr Sb W
8 4 4
Direct
0.2494 0.2500 0.1250
0.2500 0.7494 0.3750
0.2500 0.7506 0.8750
0.2506 0.2500 0.6250
0.7494 0.7500 0.6250
0.7500 0.2494 0.8750
0.7500 0.2506 0.3750
0.7506 0.7500 0.1250
0.0000 0.0000 0.5000
0.0000 0.5000 0.7500
0.5000 0.0000 0.2500
0.5000 0.5000 0.0000
0.0000 0.0000 0.0000
0.0000 0.5000 0.2500
0.5000 0.0000 0.7500
0.5000 0.5000 0.5000
```


Record 6
First-principles (PBE-GGA) data for ZrSb2W after structural relaxation, as listed in the Alexandria database.

- N(E_F) (states/eV/cell) = 2.21
- ΔE to the lowest computed polymorph (meV/atom) = 136
- E_form (uncorrected) (meV/atom) = 72
- space-group type = Cmm2, No. 35

POSCAR file:
```
ZrSb2W
1.0
3.7023 0.0000 0.0000
0.0000 4.9668 0.0000
0.0000 0.0000 10.4499
Zr Sb W
2 4 2
Direct
0.0000 0.0000 0.0000
0.5000 0.5000 0.0000
0.0000 0.0000 0.5914
0.0000 0.5000 0.2258
0.5000 0.0000 0.2258
0.5000 0.5000 0.5914
0.0000 0.5000 0.7918
0.5000 0.0000 0.7918
```